VASP calculation (GGA-PBE) on crystalline Al2CuMo at its relaxed geometry. Values from VASP.

Results
**Space-group type**: F-43m, No. 216

Geometry as Quantum ESPRESSO input:
```
&SYSTEM
  ibrav = 0, nat = 4, ntyp = 3
/
ATOMIC_SPECIES
Al 26.98 Al.upf
Cu 63.55 Cu.upf
Mo 95.94 Mo.upf
ATOMIC_POSITIONS crystal
Al 0.000 0.000 0.000
Al 0.250 0.250 0.250
Cu 0.750 0.750 0.750
Mo 0.500 0.500 0.500
CELL_PARAMETERS angstrom
0.000 3.068 3.068
3.068 0.000 3.068
3.068 3.068 0.000
```



VASP calculation (GGA-PBE) on crystalline AlCuMo at its relaxed geometry. Values from VASP.

Results
**Space-group type**: F-43m, No. 216
**Energy above the most stable polymorph in this dataset**: 376 meV per atom

Geometry as Quantum ESPRESSO input:
```
&SYSTEM
  ibrav = 0, nat = 3, ntyp = 3
/
ATOMIC_SPECIES
Al 26.98 Al.upf
Cu 63.55 Cu.upf
Mo 95.94 Mo.upf
ATOMIC_POSITIONS crystal
Al 0.000 0.000 0.000
Cu 0.500 0.500 0.500
Mo 0.250 0.250 0.250
CELL_PARAMETERS angstrom
0.000 2.969 2.969
2.969 0.000 2.969
2.969 2.969 0.000
```



VASP calculation (GGA-PBE) on crystalline NbAlCuMo at its relaxed geometry. Values from VASP.

Results
**Space-group type**: F-43m, No. 216
**Energy above the most stable polymorph in this dataset**: 0 meV per atom

Geometry as Quantum ESPRESSO input:
```
&SYSTEM
  ibrav = 0, nat = 4, ntyp = 4
/
ATOMIC_SPECIES
Nb 92.91 Nb.upf
Al 26.98 Al.upf
Cu 63.55 Cu.upf
Mo 95.94 Mo.upf
ATOMIC_POSITIONS crystal
Nb 0.000 0.000 0.000
Al 0.500 0.500 0.500
Cu 0.750 0.750 0.750
Mo 0.250 0.250 0.250
CELL_PARAMETERS angstrom
0.000 3.137 3.137
3.137 0.000 3.137
3.137 3.137 0.000
```



VASP calculation (GGA-PBE) on crystalline AlCuNiMo at its relaxed geometry. Values from VASP.

Results
**Space-group type**: F-43m, No. 216
**Energy above the most stable polymorph in this dataset**: 50 meV per atom

Geometry as Quantum ESPRESSO input:
```
&SYSTEM
  ibrav = 0, nat = 4, ntyp = 4
/
ATOMIC_SPECIES
Al 26.98 Al.upf
Cu 63.55 Cu.upf
Ni 58.69 Ni.upf
Mo 95.94 Mo.upf
ATOMIC_POSITIONS crystal
Al 0.000 0.000 0.000
Cu 0.250 0.250 0.250
Ni 0.500 0.500 0.500
Mo 0.750 0.750 0.750
CELL_PARAMETERS angstrom
0.000 2.980 2.980
2.980 0.000 2.980
2.980 2.980 0.000
```



VASP calculation (GGA-PBE) on crystalline AlCuNiMo at its relaxed geometry. Values from VASP.

Results
**Space-group type**: F-43m, No. 216
**Energy above the most stable polymorph in this dataset**: 0 meV per atom

Geometry as Quantum ESPRESSO input:
```
&SYSTEM
  ibrav = 0, nat = 4, ntyp = 4
/
ATOMIC_SPECIES
Al 26.98 Al.upf
Cu 63.55 Cu.upf
Ni 58.69 Ni.upf
Mo 95.94 Mo.upf
ATOMIC_POSITIONS crystal
Al 0.000 0.000 0.000
Cu 0.250 0.250 0.250
Ni 0.750 0.750 0.750
Mo 0.500 0.500 0.500
CELL_PARAMETERS angstrom
0.000 2.980 2.980
2.980 0.000 2.980
2.980 2.980 0.000
```



VASP calculation (GGA-PBE) on crystalline AlCuMoPd at its relaxed geometry. Values from VASP.

Results
**Space-group type**: F-43m, No. 216
**Energy above the most stable polymorph in this dataset**: 0 meV per atom

Geometry as Quantum ESPRESSO input:
```
&SYSTEM
  ibrav = 0, nat = 4, ntyp = 4
/
ATOMIC_SPECIES
Al 26.98 Al.upf
Cu 63.55 Cu.upf
Mo 95.94 Mo.upf
Pd 106.42 Pd.upf
ATOMIC_POSITIONS crystal
Al 0.000 0.000 0.000
Cu 0.250 0.250 0.250
Mo 0.500 0.500 0.500
Pd 0.750 0.750 0.750
CELL_PARAMETERS angstrom
0.000 3.085 3.085
3.085 0.000 3.085
3.085 3.085 0.000
```



VASP calculation (GGA-PBE) on crystalline AlCuReMo at its relaxed geometry. Values from VASP.

Results
**Space-group type**: F-43m, No. 216
**Energy above the most stable polymorph in this dataset**: 0 meV per atom

Geometry as Quantum ESPRESSO input:
```
&SYSTEM
  ibrav = 0, nat = 4, ntyp = 4
/
ATOMIC_SPECIES
Al 26.98 Al.upf
Cu 63.55 Cu.upf
Re 186.21 Re.upf
Mo 95.94 Mo.upf
ATOMIC_POSITIONS crystal
Al 0.000 0.000 0.000
Cu 0.250 0.250 0.250
Re 0.750 0.750 0.750
Mo 0.500 0.500 0.500
CELL_PARAMETERS angstrom
0.000 3.059 3.059
3.059 0.000 3.059
3.059 3.059 0.000
```



VASP calculation (GGA-PBE) on crystalline ScAlCuMo at its relaxed geometry. Values from VASP.

Results
**Space-group type**: F-43m, No. 216
**Energy above the most stable polymorph in this dataset**: 0 meV per atom

Geometry as Quantum ESPRESSO input:
```
&SYSTEM
  ibrav = 0, nat = 4, ntyp = 4
/
ATOMIC_SPECIES
Sc 44.96 Sc.upf
Al 26.98 Al.upf
Cu 63.55 Cu.upf
Mo 95.94 Mo.upf
ATOMIC_POSITIONS crystal
Sc 0.000 0.000 0.000
Al 0.500 0.500 0.500
Cu 0.750 0.750 0.750
Mo 0.250 0.250 0.250
CELL_PARAMETERS angstrom
0.000 3.168 3.168
3.168 0.000 3.168
3.168 3.168 0.000
```



VASP calculation (GGA-PBE) on crystalline AlCuMoW at its relaxed geometry. Values from VASP.

Results
**Space-group type**: F-43m, No. 216
**Energy above the most stable polymorph in this dataset**: 0 meV per atom

Geometry as Quantum ESPRESSO input:
```
&SYSTEM
  ibrav = 0, nat = 4, ntyp = 4
/
ATOMIC_SPECIES
Al 26.98 Al.upf
Cu 63.55 Cu.upf
Mo 95.94 Mo.upf
W 183.84 W.upf
ATOMIC_POSITIONS crystal
Al 0.000 0.000 0.000
Cu 0.250 0.250 0.250
Mo 0.750 0.750 0.750
W 0.500 0.500 0.500
CELL_PARAMETERS angstrom
0.000 3.091 3.091
3.091 0.000 3.091
3.091 3.091 0.000
```



VASP calculation (GGA-PBE) on crystalline YAlCuMo at its relaxed geometry. Values from VASP.

Results
**Space-group type**: F-43m, No. 216
**Energy above the most stable polymorph in this dataset**: 289 meV per atom

Geometry as Quantum ESPRESSO input:
```
&SYSTEM
  ibrav = 0, nat = 4, ntyp = 4
/
ATOMIC_SPECIES
Y 88.91 Y.upf
Al 26.98 Al.upf
Cu 63.55 Cu.upf
Mo 95.94 Mo.upf
ATOMIC_POSITIONS crystal
Y 0.000 0.000 0.000
Al 0.250 0.250 0.250
Cu 0.500 0.500 0.500
Mo 0.750 0.750 0.750
CELL_PARAMETERS angstrom
0.000 3.329 3.329
3.329 0.000 3.329
3.329 3.329 0.000
```



VASP calculation (GGA-PBE) on crystalline YAlCuMo at its relaxed geometry. Values from VASP.

Results
**Space-group type**: F-43m, No. 216
**Energy above the most stable polymorph in this dataset**: 0 meV per atom

Geometry as Quantum ESPRESSO input:
```
&SYSTEM
  ibrav = 0, nat = 4, ntyp = 4
/
ATOMIC_SPECIES
Y 88.91 Y.upf
Al 26.98 Al.upf
Cu 63.55 Cu.upf
Mo 95.94 Mo.upf
ATOMIC_POSITIONS crystal
Y 0.000 0.000 0.000
Al 0.500 0.500 0.500
Cu 0.750 0.750 0.750
Mo 0.250 0.250 0.250
CELL_PARAMETERS angstrom
0.000 3.278 3.278
3.278 0.000 3.278
3.278 3.278 0.000
```



VASP calculation (GGA-PBE) on crystalline AlZnCuMo at its relaxed geometry. Values from VASP.

Results
**Space-group type**: F-43m, No. 216
**Energy above the most stable polymorph in this dataset**: 77 meV per atom

Geometry as Quantum ESPRESSO input:
```
&SYSTEM
  ibrav = 0, nat = 4, ntyp = 4
/
ATOMIC_SPECIES
Al 26.98 Al.upf
Zn 65.41 Zn.upf
Cu 63.55 Cu.upf
Mo 95.94 Mo.upf
ATOMIC_POSITIONS crystal
Al 0.000 0.000 0.000
Zn 0.750 0.750 0.750
Cu 0.250 0.250 0.250
Mo 0.500 0.500 0.500
CELL_PARAMETERS angstrom
0.000 3.064 3.064
3.064 0.000 3.064
3.064 3.064 0.000
```



| no. | total DFT energy (no corrections) (eV per atom) |
| --- | --- |
| 1 | -5.352 |
| 2 | -5.304 |
| 3 | -7.048 |
| 4 | -5.942 |
| 5 | -5.992 |
| 6 | -5.884 |
| 7 | -7.698 |
| 8 | -6.120 |
| 9 | -7.686 |
| 10 | -5.680 |
| 11 | -5.969 |
| 12 | -4.681 |